(1)
ScRuAu: optimized geometry, PBE-GGA.

abc: 5.279 5.279 3.324
angles: 71.65 71.65 36.71
Fractional positions:
Ru 0.322 0.322 0.678
Sc 0.679 0.679 0.321
Au 0.000 0.000 0.000

Output
The calculation puts the total magnetization at 0.000 μB per atom. The value obtained for the excess energy over the best structure of this formula in the dataset is 40 meV/atom. As for the formation energy: -288 meV/atom. As for the space group: No. 107. The calculation puts the total energy at -6.5829 eV per atom.

=====

(2)
ScRuAu: optimized geometry, PBE-GGA.

abc: 4.422 4.422 4.422
angles: 60.00 60.00 60.00
Fractional positions:
Ru 0.750 0.750 0.750
Sc 0.000 0.000 0.000
Au 0.500 0.500 0.500

Output
The calculation puts the total magnetization at 0.302 μB per atom. The value obtained for the excess energy over the best structure of this formula in the dataset is 422 meV/atom. As for the formation energy: 95 meV/atom. As for the space group: No. 216. The calculation puts the total energy at -6.2002 eV per atom.

=====

(3)
ScRuAu: optimized geometry, PBE-GGA.

abc: 3.059 3.059 6.591
angles: 90.00 90.00 120.00
Fractional positions:
Au 0.000 0.000 0.000
Sc 0.333 0.667 0.645
Ru 0.667 0.333 0.355

Output
The calculation puts the total magnetization at 0.000 μB per atom. The value obtained for the excess energy over the best structure of this formula in the dataset is 248 meV/atom. As for the formation energy: -80 meV/atom. As for the space group: No. 156. The calculation puts the total energy at -6.3747 eV per atom.

=====

(4)
Sc2Ru2Au: optimized geometry, PBE-GGA.

abc: 6.898 6.898 3.790
angles: 90.00 90.00 90.00
Fractional positions:
Sc 0.678 0.822 0.500
Ru 0.627 0.127 0.000
Ru 0.373 0.873 0.000
Ru 0.873 0.627 0.000
Sc 0.322 0.178 0.500
Ru 0.127 0.373 0.000
Sc 0.178 0.678 0.500
Sc 0.822 0.322 0.500
Au 0.500 0.500 0.000
Au 0.000 0.000 0.000

Output
The calculation puts the total magnetization at 0.000 μB per atom. As for the formation energy: -396 meV/atom. As for the space group: No. 127. The calculation puts the total energy at -7.2940 eV per atom.

=====

(5)
ScRu2Au: optimized geometry, PBE-GGA.

abc: 3.291 3.291 6.018
angles: 90.00 90.00 90.00
Fractional positions:
Sc 0.500 0.500 0.250
Ru 0.000 0.000 0.008
Ru 0.000 0.000 0.492
Au 0.500 0.500 0.750

Output
The calculation puts the total magnetization at 0.000 μB per atom. The value obtained for the excess energy over the best structure of this formula in the dataset is 247 meV/atom. As for the formation energy: 49 meV/atom. As for the space group: No. 123. The calculation puts the total energy at -6.9910 eV per atom.

=====

(6)
ScRu2Au: optimized geometry, PBE-GGA.

abc: 2.909 2.909 7.782
angles: 90.00 90.00 90.00
Fractional positions:
Sc 0.000 0.000 0.485
Ru 0.000 0.000 0.025
Ru 0.500 0.500 0.231
Au 0.500 0.500 0.759

Output
The calculation puts the total magnetization at 0.000 μB per atom. The value obtained for the excess energy over the best structure of this formula in the dataset is 64 meV/atom. As for the formation energy: -134 meV/atom. As for the space group: No. 99. The calculation puts the total energy at -7.1740 eV per atom.

=====

(7)
ScRu2Au: optimized geometry, PBE-GGA.

abc: 9.191 9.191 9.191
angles: 18.21 18.21 18.21
Fractional positions:
Sc 0.504 0.504 0.504
Ru 0.994 0.994 0.994
Ru 0.254 0.254 0.254
Au 0.749 0.749 0.749

Output
The calculation puts the total magnetization at 0.000 μB per atom. The value obtained for the excess energy over the best structure of this formula in the dataset is 315 meV/atom. As for the formation energy: 118 meV/atom. As for the space group: No. 160. The calculation puts the total energy at -6.9226 eV per atom.

=====

(8)
Sc4RuAu3: optimized geometry, PBE-GGA.

abc: 3.345 3.345 13.521
angles: 90.00 90.00 90.00
Fractional positions:
Au 0.500 0.500 0.500
Sc 0.000 0.000 0.113
Ru 0.500 0.500 0.000
Sc 0.000 0.000 0.630
Sc 0.000 0.000 0.370
Sc 0.000 0.000 0.887
Au 0.500 0.500 0.756
Au 0.500 0.500 0.244

Output
The calculation puts the total magnetization at 0.000 μB per atom. As for the formation energy: -767 meV/atom. As for the space group: No. 123. The calculation puts the total energy at -6.3214 eV per atom.

=====

(9)
Sc2RuAu: optimized geometry, PBE-GGA.

abc: 9.212 9.212 9.212
angles: 20.09 20.09 20.09
Fractional positions:
Au 0.497 0.497 0.497
Sc 0.015 0.015 0.015
Sc 0.240 0.240 0.240
Ru 0.748 0.748 0.748

Output
The calculation puts the total magnetization at 0.150 μB per atom. As for the formation energy: -15 meV/atom. As for the space group: No. 160. The calculation puts the total energy at -6.3194 eV per atom.

=====

(10)
Sc6Ru5Au: optimized geometry, PBE-GGA.

abc: 4.570 6.515 7.907
angles: 114.33 106.80 90.00
Fractional positions:
Sc 0.828 0.085 0.657
Ru 0.664 0.164 0.328
Au 0.000 0.000 0.000
Sc 0.500 0.264 0.000
Sc 0.172 0.428 0.343
Sc 0.828 0.572 0.657
Ru 0.667 0.667 0.334
Ru 0.336 0.836 0.672
Sc 0.172 0.915 0.343
Ru 0.000 0.500 0.000
Sc 0.500 0.736 0.000
Ru 0.333 0.333 0.666

Output
The calculation puts the total magnetization at 0.000 μB per atom. As for the formation energy: -631 meV/atom. As for the space group: No. 71. The calculation puts the total energy at -7.9343 eV per atom.

=====

(11)
Sc2RuAu: optimized geometry, PBE-GGA.

abc: 4.652 4.680 4.652
angles: 60.10 89.81 60.10
Fractional positions:
Au 0.750 0.500 0.250
Ru 0.250 0.500 0.750
Sc 0.000 0.000 0.000
Sc 0.500 0.000 0.500

Output
The calculation puts the total magnetization at 0.000 μB per atom. As for the formation energy: -677 meV/atom. As for the space group: No. 69. The calculation puts the total energy at -6.9807 eV per atom.

=====

(12)
Sc6Ru2Au: optimized geometry, PBE-GGA.

abc: 7.860 7.860 7.860
angles: 103.59 111.92 113.06
Fractional positions:
Sc 0.306 0.638 0.332
Sc 0.694 0.362 0.668
Sc 0.801 0.243 0.045
Ru 0.330 0.000 0.330
Sc 0.199 0.757 0.955
Sc 0.900 0.719 0.182
Sc 0.463 0.281 0.182
Sc 0.100 0.281 0.818
Au 0.000 0.000 0.000
Sc 0.537 0.719 0.818
Sc 0.199 0.243 0.442
Ru 0.670 0.000 0.670
Ru 0.500 0.364 0.864
Sc 0.694 0.026 0.332
Sc 0.306 0.974 0.668
Au 0.000 0.500 0.500
Ru 0.500 0.636 0.136
Sc 0.801 0.757 0.558

Output
The calculation puts the total magnetization at 0.000 μB per atom. As for the formation energy: -477 meV/atom. As for the space group: No. 71. The calculation puts the total energy at -7.1232 eV per atom.

=====

Question: What is the formation energy in the fourth record?
Answer: -396 meV/atom

=====

Please write out number 12 again, unchanged.
Sc6Ru2Au: optimized geometry, PBE-GGA.

abc: 7.860 7.860 7.860
angles: 103.59 111.92 113.06
Fractional positions:
Sc 0.306 0.638 0.332
Sc 0.694 0.362 0.668
Sc 0.801 0.243 0.045
Ru 0.330 0.000 0.330
Sc 0.199 0.757 0.955
Sc 0.900 0.719 0.182
Sc 0.463 0.281 0.182
Sc 0.100 0.281 0.818
Au 0.000 0.000 0.000
Sc 0.537 0.719 0.818
Sc 0.199 0.243 0.442
Ru 0.670 0.000 0.670
Ru 0.500 0.364 0.864
Sc 0.694 0.026 0.332
Sc 0.306 0.974 0.668
Au 0.000 0.500 0.500
Ru 0.500 0.636 0.136
Sc 0.801 0.757 0.558

Output
The calculation puts the total magnetization at 0.000 μB per atom. As for the formation energy: -477 meV/atom. As for the space group: No. 71. The calculation puts the total energy at -7.1232 eV per atom.